<w>
SnI2F2: relaxed, GGA-PBE.

Calculated values
Fermi-level density of states   8.98 states/eV/cell
Space group   No. 127
V   31.13 Å³/atom
Theoretical density   4.38 Mg/m³

Lattice parameters (Å, degrees): 6.484 6.484 7.403 90.00 90.00 90.00
Positions (direct):
Sn: 0.000 0.000 0.000
Sn: 0.500 0.500 0.000
I: 0.155 0.345 0.500
I: 0.345 0.845 0.500
I: 0.655 0.155 0.500
I: 0.845 0.655 0.500
F: 0.236 0.736 0.000
F: 0.264 0.236 0.000
F: 0.736 0.764 0.000
F: 0.764 0.264 0.000


<x>
SnI2F2: relaxed, GGA-PBE.

Calculated values
Fermi-level density of states   1.67 states/eV/cell
Space group   No. 139
V   29.44 Å³/atom
Theoretical density   4.63 Mg/m³

Lattice parameters (Å, degrees): 9.027 9.027 9.027 153.40 153.40 37.97
Positions (direct):
Sn: 0.000 0.000 0.000
I: 0.250 0.750 0.500
I: 0.750 0.250 0.500
F: 0.427 0.427 0.000
F: 0.573 0.573 0.000


Which one sits at the top of the stability order? <w> does.